No. 1
The following is a DFT calculation (PBE+U) of crystalline VInClO4 at its relaxed geometry.

Summary:
- crystal system = monoclinic

a = 9.803 Å, b = 7.100 Å, c = 8.740 Å
α = 90.00°, β = 117.88°, γ = 90.00°
Space group C2/m (No. 12)
Inequivalent atoms, fractional coordinates:
1 V 0.119 0.000 0.301
2 In 0.193 0.500 0.203
3 Cl 0.099 0.500 0.880
4 O 0.075 0.000 0.758
5 O 0.168 0.200 0.222
6 O 0.226 0.000 0.524

---

No. 2
The following is a DFT calculation (PBE+U) of crystalline InWClO4 at its relaxed geometry.

Summary:
- crystal system = monoclinic

a = 9.542 Å, b = 7.220 Å, c = 9.522 Å
α = 90.00°, β = 119.71°, γ = 90.00°
Space group C2/m (No. 12)
Inequivalent atoms, fractional coordinates:
1 In 0.038 0.000 0.214
2 W 0.191 0.500 0.325
3 Cl 0.204 0.000 0.070
4 O 0.067 0.297 0.232
5 O 0.134 0.000 0.702
6 O 0.241 0.000 0.460

---

Mass density in g cm⁻³, matching the order above: 3.28; 4.64
DFT total energy in eV/atom, matching the order above: -5.869; -6.192